# SrZnP2Cl

An optimized crystal structure of SrZnP2Cl (PBE-GGA, Alexandria).

Cell lengths 6.251, 6.251, 5.566 Å; angles 90.00, 90.00, 90.00 degrees
Last column: magnetic moment on the atom in μB.
Fractional coordinates of all 5 atoms:
1 Sr 0.000 0.000 0.000  0.04
2 Cl 0.000 0.000 0.500  0.06
3 P 0.500 0.000 0.000  0.95
4 P 0.000 0.500 0.000  0.95
5 Zn 0.500 0.500 0.500  0.10

Output
* distance to the lowest polymorph of the same formula: 0.895 eV per atom
* formation energy (no corrections): 2.43 eV/f.u.